# HgIrW2 | Alexandria via LeMat-Bulk | GGA-PBE | optimized geometry
# ΔE_f: 386 meV per atom
# Magnetization: 0.00 μB/f.u.
# Electronic total energy: -33.5 eV/cell
# SG: P2/m
data_HgIrW2
_space_group_name_H-M_alt 'P 1'
_space_group_IT_number 1
_cell_length_a 2.796
_cell_length_b 4.157
_cell_length_c 5.704
_cell_angle_alpha 90.00
_cell_angle_beta 90.04
_cell_angle_gamma 90.00
loop_
_space_group_symop_operation_xyz
'x,y,z'
loop_
_atom_site_label
_atom_site_type_symbol
_atom_site_fract_x
_atom_site_fract_y
_atom_site_fract_z
_atom_site_occupancy
Hg1 Hg 0.000 0.000 0.000 1
Ir1 Ir 0.000 0.000 0.500 1
W1 W 0.498 0.500 0.727 1
W2 W 0.502 0.500 0.273 1